# 1
Compound: Ac8Pt3I4Cl
Source: Alexandria
Functional: GGA-PBE
Structure: optimized geometry

- N(E_F): 13.11 states/eV/cell
- Space group: No. 166
- Energy relative to the elements, uncorrected: -1183 meV/atom

a = 9.001 Å, b = 10.020 Å, c = 9.000 Å
α = 116.69°, β = 120.00°, γ = 90.00°
Positions (direct):
Pt (0.500, 0.500, 0.000)
I (0.000, 0.000, 0.500)
Ac (0.758, 0.305, 0.046)
Ac (0.288, 0.305, 0.046)
Ac (0.758, 0.305, 0.517)
Ac (0.242, 0.695, 0.954)
Cl (0.000, 0.500, 0.000)
I (0.500, 0.000, 0.000)
Ac (0.728, 0.683, 0.455)
Ac (0.242, 0.695, 0.483)
Pt (0.500, 0.500, 0.500)
Ac (0.272, 0.317, 0.545)
I (0.000, 0.000, 0.000)
Ac (0.712, 0.695, 0.954)
Pt (0.000, 0.500, 0.500)
I (0.500, 0.000, 0.500)

---

# 2
Compound: Sm3In2Au2
Source: Alexandria
Functional: GGA-PBE
Structure: optimized geometry

- DFT formation energy: -652.7 meV per atom
- N(E_F): 6.57 states/eV/cell
- Space group: No. 65

a = 4.534 Å, b = 3.605 Å, c = 11.311 Å
α = 90.00°, β = 78.44°, γ = 90.00°
Site moments in Bohr magnetons follow the coordinates.
Positions (direct):
In (0.578, 0.500, 0.843)  0.00
Sm (0.835, 0.000, 0.330)  0.02
In (0.422, 0.500, 0.157)  0.00
Sm (0.000, 0.000, 0.000)  0.08
Sm (0.165, 0.000, 0.670)  0.02
Au (0.712, 0.500, 0.576)  0.00
Au (0.288, 0.500, 0.424)  0.00

---

# 3
Compound: NaSnH3
Source: Alexandria
Functional: GGA-PBE
Structure: optimized geometry

- N(E_F): 0.27 states/eV/cell
- Space group: No. 221
- Energy above the lowest structure with this stoichiometry: 24.4 kJ/mol of formula units

a = 4.233 Å, b = 4.233 Å, c = 4.233 Å
α = 90.00°, β = 90.00°, γ = 90.00°
Positions (direct):
H (0.000, 0.000, 0.500)
H (0.000, 0.500, 0.000)
Na (0.500, 0.500, 0.500)
Sn (0.000, 0.000, 0.000)
H (0.500, 0.000, 0.000)

---

> The highest N(E_F) belongs to which entry?

Ac8Pt3I4Cl

---

> Look up the N(E_F) of the first one.

13.11 states/eV/cell

---

> Which value of N(E_F) does entry 2 give?

6.57 states/eV/cell

---

> Which of these has the highest N(E_F)?

Ac8Pt3I4Cl